Record 1
{"formula": "La2InW", "functional": "PBE", "state": "optimized geometry", "formation_energy_mev_per_atom": 501.5, "space_group": "No. 12", "volume_a3_per_cell": 114, "dft_energy_ev_per_atom": -5.89, "lattice": [[4.669, -0.091, 0.034], [3.659, 2.902, 0.034], [0.680, 0.229, 8.194]], "species": ["La", "La", "W", "In"], "frac_coords": [[0.500, 0.500, 0.535], [0.000, 0.000, 0.965], [0.750, 0.750, 0.750], [0.250, 0.250, 0.250]]}

=====

Record 2
{"formula": "TcW", "functional": "PBE", "state": "optimized geometry", "formation_energy_mev_per_atom": 77.7, "space_group": "No. 129", "de_polymorph_mev_per_atom": 13.1, "volume_a3_per_cell": 62, "dft_energy_ev_per_atom": -11.58, "lattice": [[3.131, 0.000, 0.000], [0.000, 3.131, 0.000], [0.000, 0.000, 6.343]], "species": ["W", "W", "Tc", "Tc"], "frac_coords": [[0.500, 0.500, 0.756], [0.000, 0.000, 0.494], [0.000, 0.000, 0.985], [0.500, 0.500, 0.265]]}

=====

Record 3
{"formula": "BaNp2CuS4", "functional": "PBE", "state": "optimized geometry", "formation_energy_uncorrected_ev_per_atom": -1.3565, "space_group": "No. 63", "volume_a3_per_cell": 370, "dft_energy_ev_per_atom": -7.41, "lattice": [[-0.300, -3.469, 2.032], [4.630, 3.985, 3.489], [-10.121, 5.240, 7.448]], "species": ["Cu", "Cu", "S", "S", "S", "S", "S", "S", "S", "S", "Np", "Np", "Np", "Np", "Ba", "Ba"], "frac_coords": [[0.157, 0.315, 0.250], [0.843, 0.685, 0.750], [0.432, 0.864, 0.750], [0.737, 0.474, 0.614], [0.263, 0.526, 0.386], [0.737, 0.474, 0.886], [0.000, 0.000, 0.000], [0.568, 0.136, 0.250], [0.000, 0.000, 0.500], [0.263, 0.526, 0.114], [0.369, 0.738, 0.557], [0.631, 0.262, 0.443], [0.631, 0.262, 0.057], [0.369, 0.738, 0.943], [0.111, 0.222, 0.750], [0.889, 0.778, 0.250]]}

=====

Record 4
{"formula": "LaRhSe2", "functional": "PBE", "state": "optimized geometry", "formation_energy_uncorrected_ev_per_atom": -1.0462, "space_group": "No. 8", "de_polymorph_mev_per_atom": 93.4, "volume_a3_per_cell": 103, "dft_energy_ev_per_atom": -5.86, "lattice": [[5.953, 0.069, -0.462], [4.670, 3.693, -0.462], [0.183, 0.065, 4.716]], "species": ["Se", "Se", "Rh", "La"], "frac_coords": [[0.772, 0.772, 0.588], [0.015, 0.015, 0.051], [0.209, 0.209, 0.311], [0.504, 0.504, 0.549]]}